# 1
The following is a DFT calculation (GGA-PBEsol) of a relaxed structure of YAsOs2Rh.

## Properties
* calculated total energy: -7.812 eV/atom
* crystal system: tetragonal

abc: 4.4384 4.4384 5.0575
angles: 90.00 90.00 90.00
With the nearest neighbours (Å) after each atom.
Space group P4/mmm (No. 123)
Inequivalent atoms, fractional coordinates:
Y 0.0000 0.0000 0.0000 x1  2 As 2.53
As 0.0000 0.0000 0.5000 x1  4 Os 2.22
Os 0.0000 0.5000 0.5000 x2  2 As 2.22
Rh 0.5000 0.5000 0.0000 x1  4 Y 3.14, 8 Os 3.36



# 2
The following is a DFT calculation (GGA-PBEsol) of a relaxed structure of AsOs2Ru.

## Properties
* calculated total energy: -9.620 eV/atom
* crystal system: monoclinic

abc: 8.9880 2.8073 4.5248
angles: 90.00 93.93 90.00
With the nearest neighbours (Å) after each atom.
Space group Cm (No. 8)
Inequivalent atoms, fractional coordinates:
As 0.0000 0.0000 0.0000 x2  1 Ru 2.42, 5 Os 2.50-2.70
Os 0.2236 0.0000 0.7007 x2  1 As 2.50, 4 Ru 2.62-2.75, 3 Os 2.64-2.65
Os 0.4912 0.0000 0.4890 x2  4 As 2.63-2.70, 5 Os 2.64-2.81, 3 Ru 2.70-2.79
Ru 0.2626 0.5000 0.2222 x2  1 As 2.42, 4 Os 2.62-2.70



# 3
The following is a DFT calculation (GGA-PBEsol) of a relaxed structure of As2OsRu.

## Properties
* calculated total energy: -8.040 eV/atom
* crystal system: monoclinic

abc: 8.8151 3.0409 4.4129
angles: 90.00 102.94 90.00
With the nearest neighbours (Å) after each atom.
Space group Cm (No. 8)
Inequivalent atoms, fractional coordinates:
As 0.0000 0.0000 0.0000 x2  3 Ru 2.47-2.52, 4 Os 2.65-2.71
As 0.2408 0.0000 0.6100 x2  3 Os 2.50-2.53, 4 Ru 2.63-2.73
Os 0.0058 0.5000 0.4950 x2  7 As 2.50-2.71
Ru 0.2339 0.5000 0.0936 x2  7 As 2.47-2.73



DOS(E_F)? In order: 0.805; 0.741; 0.454 states/eV per atom.